Version A
First-principles (PBE) data for a relaxed structure of Zn2TeS, as listed in Alexandria via LeMat-Bulk.

a b c (Å): 13.596 4.119 7.115
angles (deg): 90.00 100.31 90.00
Fractional coordinates of all 16 atoms:
Zn 0.000 0.000 0.000
Zn 0.016 0.500 0.456
Zn 0.244 0.500 0.205
Zn 0.272 0.000 0.761
Zn 0.500 0.500 0.000
Zn 0.516 0.000 0.456
Zn 0.744 0.000 0.205
Zn 0.772 0.500 0.761
Te 0.074 0.000 0.678
Te 0.319 0.000 0.413
Te 0.574 0.500 0.678
Te 0.819 0.500 0.413
S 0.066 0.500 0.155
S 0.323 0.500 0.929
S 0.566 0.000 0.155
S 0.823 0.000 0.929

Output
SG: Cm, No. 8

---

Version B
First-principles (PBE) data for a relaxed structure of Zn2TeS, as listed in Alexandria via LeMat-Bulk.

a b c (Å): 6.814 6.814 6.814
angles (deg): 90.00 90.00 90.00
Fractional coordinates of all 16 atoms:
Zn 0.250 0.250 0.250
Zn 0.250 0.250 0.750
Zn 0.250 0.750 0.250
Zn 0.250 0.750 0.750
Zn 0.750 0.250 0.250
Zn 0.750 0.250 0.750
Zn 0.750 0.750 0.250
Zn 0.750 0.750 0.750
Te 0.000 0.000 0.000
Te 0.000 0.500 0.500
Te 0.500 0.000 0.500
Te 0.500 0.500 0.000
S 0.000 0.000 0.500
S 0.000 0.500 0.000
S 0.500 0.000 0.000
S 0.500 0.500 0.500

Output
SG: Fm-3m, No. 225

---

The least stable of them is version B.

---

Version A
First-principles (PBE) data for a relaxed structure of Zn3TeS, as listed in Alexandria via LeMat-Bulk.

a b c (Å): 5.196 5.196 5.196
angles (deg): 90.00 90.00 90.00
Fractional coordinates of all 5 atoms:
Zn 0.000 0.000 0.500
Zn 0.000 0.500 0.000
Zn 0.500 0.000 0.000
Te 0.000 0.000 0.000
S 0.500 0.500 0.500

Output
SG: Pm-3m, No. 221

---

Version B
First-principles (PBE) data for a relaxed structure of Zn3TeS, as listed in Alexandria via LeMat-Bulk.

a b c (Å): 4.791 4.791 4.791
angles (deg): 90.00 90.00 90.00
Fractional coordinates of all 5 atoms:
Zn 0.000 0.000 0.500
Zn 0.000 0.500 0.000
Zn 0.500 0.000 0.000
Te 0.500 0.500 0.500
S 0.000 0.000 0.000

Output
SG: Pm-3m, No. 221

---

The least stable of them is version A.

---

Version A
First-principles (PBE) data for a relaxed structure of ZnTe3S, as listed in Alexandria via LeMat-Bulk.

a b c (Å): 5.278 5.278 5.278
angles (deg): 90.00 90.00 90.00
Fractional coordinates of all 5 atoms:
Zn 0.000 0.000 0.000
Te 0.000 0.500 0.500
Te 0.500 0.000 0.500
Te 0.500 0.500 0.000
S 0.500 0.500 0.500

Output
SG: Pm-3m, No. 221

---

Version B
First-principles (PBE) data for a relaxed structure of ZnTe3S, as listed in Alexandria via LeMat-Bulk.

a b c (Å): 5.232 5.232 5.232
angles (deg): 90.00 90.00 90.00
Fractional coordinates of all 5 atoms:
Zn 0.000 0.000 0.000
Te 0.000 0.000 0.500
Te 0.000 0.500 0.000
Te 0.500 0.000 0.000
S 0.500 0.500 0.500

Output
SG: Pm-3m, No. 221

---

The least stable of them is version B.

---

Version A
First-principles (PBE) data for a relaxed structure of ZrTe3S, as listed in Alexandria via LeMat-Bulk.

a b c (Å): 5.575 5.575 5.575
angles (deg): 90.00 90.00 90.00
Fractional coordinates of all 5 atoms:
Zr 0.000 0.000 0.000
Te 0.000 0.000 0.500
Te 0.000 0.500 0.000
Te 0.500 0.000 0.000
S 0.500 0.500 0.500

Output
SG: Pm-3m, No. 221

---

Version B
First-principles (PBE) data for a relaxed structure of ZrTe3S, as listed in Alexandria via LeMat-Bulk.

a b c (Å): 5.161 5.161 5.161
angles (deg): 90.00 90.00 90.00
Fractional coordinates of all 5 atoms:
Zr 0.000 0.000 0.000
Te 0.000 0.500 0.500
Te 0.500 0.000 0.500
Te 0.500 0.500 0.000
S 0.500 0.500 0.500

Output
SG: Pm-3m, No. 221

---

The least stable of them is version B.

---

Version A
First-principles (PBE) data for a relaxed structure of ZrTeS3, as listed in Alexandria via LeMat-Bulk.

a b c (Å): 4.982 4.982 4.982
angles (deg): 90.00 90.00 90.00
Fractional coordinates of all 5 atoms:
Zr 0.000 0.000 0.000
Te 0.500 0.500 0.500
S 0.000 0.000 0.500
S 0.000 0.500 0.000
S 0.500 0.000 0.000

Output
SG: Pm-3m, No. 221

---

Version B
First-principles (PBE) data for a relaxed structure of ZrTeS3, as listed in Alexandria via LeMat-Bulk.

a b c (Å): 4.973 4.973 4.973
angles (deg): 90.00 90.00 90.00
Fractional coordinates of all 5 atoms:
Zr 0.000 0.000 0.000
Te 0.500 0.500 0.500
S 0.000 0.500 0.500
S 0.500 0.000 0.500
S 0.500 0.500 0.000

Output
SG: Pm-3m, No. 221

---

The least stable of them is version B.

---

Version A
First-principles (PBE) data for a relaxed structure of Zr2TeS2, as listed in Alexandria via LeMat-Bulk.

a b c (Å): 4.301 4.301 12.116
angles (deg): 90.00 90.00 90.00
Fractional coordinates of all 10 atoms:
Zr 0.000 0.000 0.132
Zr 0.000 0.000 0.868
Zr 0.500 0.500 0.368
Zr 0.500 0.500 0.632
Te 0.000 0.000 0.500
Te 0.500 0.500 0.000
S 0.000 0.500 0.250
S 0.000 0.500 0.750
S 0.500 0.000 0.250
S 0.500 0.000 0.750

Output
SG: I4/mmm, No. 139

---

Version B
First-principles (PBE) data for a relaxed structure of Zr2TeS2, as listed in Alexandria via LeMat-Bulk.

a b c (Å): 7.640 7.640 3.424
angles (deg): 90.00 90.00 90.00
Fractional coordinates of all 10 atoms:
Zr 0.144 0.356 0.000
Zr 0.356 0.856 0.000
Zr 0.644 0.144 0.000
Zr 0.856 0.644 0.000
Te 0.000 0.000 0.000
Te 0.500 0.500 0.000
S 0.134 0.634 0.500
S 0.366 0.134 0.500
S 0.634 0.866 0.500
S 0.866 0.366 0.500

Output
SG: P4/mbm, No. 127

---

Version C
First-principles (PBE) data for a relaxed structure of Zr2TeS2, as listed in Alexandria via LeMat-Bulk.

a b c (Å): 3.805 5.092 12.279
angles (deg): 90.00 90.00 90.00
Fractional coordinates of all 10 atoms:
Zr 0.000 0.000 0.184
Zr 0.000 0.000 0.816
Zr 0.500 0.500 0.316
Zr 0.500 0.500 0.684
Te 0.000 0.500 0.500
Te 0.500 0.000 0.000
S 0.000 0.500 0.170
S 0.000 0.500 0.830
S 0.500 0.000 0.330
S 0.500 0.000 0.670

Output
SG: Immm, No. 71

---

The least stable of them is version A.

---

Version A
First-principles (PBE) data for a relaxed structure of ThUS2, as listed in Alexandria via LeMat-Bulk.

a b c (Å): 3.883 3.883 20.190
angles (deg): 90.00 90.00 120.00
Fractional coordinates of all 12 atoms:
Th 0.000 0.000 0.000
Th 0.333 0.667 0.667
Th 0.667 0.333 0.333
U 0.000 0.000 0.500
U 0.333 0.667 0.167
U 0.667 0.333 0.833
S 0.000 0.000 0.246
S 0.000 0.000 0.754
S 0.333 0.667 0.421
S 0.333 0.667 0.912
S 0.667 0.333 0.088
S 0.667 0.333 0.579

Output
SG: R-3m, No. 166

---

Version B
First-principles (PBE) data for a relaxed structure of ThUS2, as listed in Alexandria via LeMat-Bulk.

a b c (Å): 3.968 3.968 5.623
angles (deg): 90.00 90.00 90.00
Fractional coordinates of all 4 atoms:
Th 0.000 0.000 0.000
U 0.500 0.500 0.500
S 0.000 0.000 0.500
S 0.500 0.500 0.000

Output
SG: P4/mmm, No. 123

---

The least stable of them is version B.

---

Version A
First-principles (PBE) data for a relaxed structure of YThS2, as listed in Alexandria via LeMat-Bulk.

a b c (Å): 3.896 3.896 13.689
angles (deg): 90.00 90.00 120.00
Fractional coordinates of all 8 atoms:
Y 0.000 0.000 0.000
Y 0.000 0.000 0.500
Th 0.333 0.667 0.250
Th 0.667 0.333 0.750
S 0.333 0.667 0.617
S 0.333 0.667 0.883
S 0.667 0.333 0.117
S 0.667 0.333 0.383

Output
SG: P6_3/mmc, No. 194

---

Version B
First-principles (PBE) data for a relaxed structure of YThS2, as listed in Alexandria via LeMat-Bulk.

a b c (Å): 3.857 3.857 21.269
angles (deg): 90.00 90.00 120.00
Fractional coordinates of all 12 atoms:
Y 0.000 0.000 0.000
Y 0.333 0.667 0.667
Y 0.667 0.333 0.333
Th 0.000 0.000 0.174
Th 0.333 0.667 0.841
Th 0.667 0.333 0.507
S 0.000 0.000 0.415
S 0.000 0.000 0.592
S 0.333 0.667 0.082
S 0.333 0.667 0.259
S 0.667 0.333 0.748
S 0.667 0.333 0.925

Output
SG: R3m, No. 160

---

The least stable of them is version B.

---

Version A
First-principles (PBE) data for a relaxed structure of ThZrS2, as listed in Alexandria via LeMat-Bulk.

a b c (Å): 3.788 3.788 19.805
angles (deg): 90.00 90.00 120.00
Fractional coordinates of all 12 atoms:
Th 0.000 0.000 0.000
Th 0.333 0.667 0.667
Th 0.667 0.333 0.333
Zr 0.000 0.000 0.500
Zr 0.333 0.667 0.167
Zr 0.667 0.333 0.833
S 0.000 0.000 0.241
S 0.000 0.000 0.759
S 0.333 0.667 0.426
S 0.333 0.667 0.907
S 0.667 0.333 0.093
S 0.667 0.333 0.574

Output
SG: R-3m, No. 166

---

Version B
First-principles (PBE) data for a relaxed structure of ThZrS2, as listed in Alexandria via LeMat-Bulk.

a b c (Å): 3.771 3.771 20.467
angles (deg): 90.00 90.00 120.00
Fractional coordinates of all 12 atoms:
Th 0.000 0.000 0.000
Th 0.333 0.667 0.667
Th 0.667 0.333 0.333
Zr 0.000 0.000 0.177
Zr 0.333 0.667 0.844
Zr 0.667 0.333 0.510
S 0.000 0.000 0.579
S 0.000 0.000 0.764
S 0.333 0.667 0.246
S 0.333 0.667 0.430
S 0.667 0.333 0.097
S 0.667 0.333 0.912

Output
SG: R3m, No. 160

---

The least stable of them is version B.

---

Version A
First-principles (PBE) data for a relaxed structure of TiTl2S3, as listed in Alexandria via LeMat-Bulk.

a b c (Å): 7.545 7.545 15.298
angles (deg): 91.54 91.54 124.71
Fractional coordinates of all 24 atoms:
Ti 0.228 0.237 0.332
Ti 0.237 0.228 0.832
Ti 0.763 0.772 0.168
Ti 0.772 0.763 0.668
Tl 0.073 0.470 0.651
Tl 0.151 0.358 0.059
Tl 0.358 0.151 0.559
Tl 0.470 0.073 0.151
Tl 0.530 0.927 0.849
Tl 0.642 0.849 0.441
Tl 0.849 0.642 0.941
Tl 0.927 0.530 0.349
S 0.010 0.314 0.866
S 0.094 0.906 0.750
S 0.195 0.379 0.455
S 0.314 0.010 0.366
S 0.379 0.195 0.955
S 0.494 0.506 0.250
S 0.506 0.494 0.750
S 0.621 0.805 0.045
S 0.686 0.990 0.634
S 0.805 0.621 0.545
S 0.906 0.094 0.250
S 0.990 0.686 0.134

Output
SG: C2/c, No. 15

---

Version B
First-principles (PBE) data for a relaxed structure of TiTl2S3, as listed in Alexandria via LeMat-Bulk.

a b c (Å): 7.214 7.214 6.600
angles (deg): 94.02 94.02 71.41
Fractional coordinates of all 12 atoms:
Ti 0.077 0.923 0.750
Ti 0.923 0.077 0.250
Tl 0.189 0.503 0.308
Tl 0.497 0.811 0.192
Tl 0.503 0.189 0.808
Tl 0.811 0.497 0.692
S 0.126 0.153 0.007
S 0.153 0.126 0.507
S 0.341 0.659 0.750
S 0.659 0.341 0.250
S 0.847 0.874 0.493
S 0.874 0.847 0.993

Output
SG: C2/c, No. 15

---

The least stable of them is version A.

---

Version A
First-principles (PBE) data for a relaxed structure of Ti2TlS4, as listed in Alexandria via LeMat-Bulk.

a b c (Å): 6.415 6.415 12.649
angles (deg): 90.00 90.00 147.57
Fractional coordinates of all 14 atoms:
Ti 0.131 0.869 0.566
Ti 0.131 0.869 0.934
Ti 0.869 0.131 0.066
Ti 0.869 0.131 0.434
Tl 0.395 0.605 0.750
Tl 0.605 0.395 0.250
S 0.089 0.911 0.750
S 0.237 0.763 0.101
S 0.237 0.763 0.399
S 0.500 0.500 0.000
S 0.500 0.500 0.500
S 0.763 0.237 0.601
S 0.763 0.237 0.899
S 0.911 0.089 0.250

Output
SG: Cmcm, No. 63

---

Version B
First-principles (PBE) data for a relaxed structure of Ti2TlS4, as listed in Alexandria via LeMat-Bulk.

a b c (Å): 16.887 3.447 5.935
angles (deg): 90.00 109.85 90.00
Fractional coordinates of all 14 atoms:
Ti 0.249 0.000 0.252
Ti 0.251 0.500 0.748
Ti 0.749 0.500 0.252
Ti 0.751 0.000 0.748
Tl 0.000 0.500 0.500
Tl 0.500 0.000 0.500
S 0.159 0.500 0.328
S 0.160 0.000 0.829
S 0.340 0.500 0.171
S 0.341 0.000 0.672
S 0.659 0.000 0.328
S 0.660 0.500 0.829
S 0.840 0.000 0.171
S 0.841 0.500 0.672

Output
SG: C2/m, No. 12

---

The least stable of them is version A.

---

Version A
First-principles (PBE) data for a relaxed structure of TmTiS, as listed in Alexandria via LeMat-Bulk.

a b c (Å): 4.183 4.183 3.858
angles (deg): 90.00 90.00 120.00
Fractional coordinates of all 3 atoms:
Tm 0.000 0.000 0.000
Ti 0.333 0.667 0.500
S 0.667 0.333 0.500

Output
SG: P-6m2, No. 187

---

Version B
First-principles (PBE) data for a relaxed structure of TmTiS, as listed in Alexandria via LeMat-Bulk.

a b c (Å): 11.318 11.318 11.318
angles (deg): 18.09 18.09 18.09
Fractional coordinates of all 6 atoms:
Tm 0.122 0.122 0.122
Tm 0.878 0.878 0.878
Ti 0.299 0.299 0.299
Ti 0.701 0.701 0.701
S 0.406 0.406 0.406
S 0.594 0.594 0.594

Output
SG: R-3m, No. 166

---

The least stable of them is version A.